(1)
Compound: Er2Al2InNi5
Source: the Alexandria database
Functional: GGA-PBE
Structure: optimized geometry Values from VASP.

The structure in Quantum ESPRESSO input format:
```
&SYSTEM
  ibrav = 0, nat = 20, ntyp = 4
/
ATOMIC_SPECIES
Er 167.26 Er.upf
Al 26.98 Al.upf
In 114.82 In.upf
Ni 58.69 Ni.upf
ATOMIC_POSITIONS crystal
Er 0.183 0.317 0.000
Er 0.317 0.817 0.000
Er 0.683 0.183 0.000
Er 0.817 0.683 0.000
Al 0.113 0.613 0.000
Al 0.387 0.113 0.000
Al 0.613 0.887 0.000
Al 0.887 0.387 0.000
In 0.000 0.000 0.000
In 0.500 0.500 0.000
Ni 0.000 0.500 0.500
Ni 0.062 0.779 0.500
Ni 0.221 0.062 0.500
Ni 0.279 0.562 0.500
Ni 0.438 0.279 0.500
Ni 0.500 0.000 0.500
Ni 0.562 0.721 0.500
Ni 0.721 0.438 0.500
Ni 0.779 0.938 0.500
Ni 0.938 0.221 0.500
CELL_PARAMETERS angstrom
9.507 0.000 0.000
0.000 9.507 0.000
0.000 0.000 3.548
```

Calculated values
- Size of the total moment: 0.00 μB per cell
- E_form: -3.85 eV/f.u.

(2)
Compound: Li3B8C8
Source: the Alexandria database
Functional: GGA-PBE
Structure: optimized geometry Values from VASP.

The structure in Quantum ESPRESSO input format:
```
&SYSTEM
  ibrav = 0, nat = 19, ntyp = 3
/
ATOMIC_SPECIES
Li 6.94 Li.upf
B 10.81 B.upf
C 12.01 C.upf
ATOMIC_POSITIONS crystal
Li 0.000 0.000 0.000
Li 0.035 0.280 0.503
Li 0.519 0.764 0.496
B 0.200 0.077 0.232
B 0.202 0.560 0.267
B 0.356 0.482 0.743
B 0.360 0.971 0.767
B 0.699 0.575 0.232
B 0.702 0.056 0.277
B 0.854 0.992 0.718
B 0.858 0.474 0.765
C 0.186 0.819 0.730
C 0.188 0.296 0.776
C 0.369 0.747 0.229
C 0.371 0.227 0.274
C 0.687 0.318 0.728
C 0.688 0.807 0.755
C 0.869 0.243 0.238
C 0.870 0.727 0.273
CELL_PARAMETERS angstrom
5.314 0.000 0.000
2.538 4.678 0.000
0.896 2.123 7.423
```

Calculated values
- Size of the total moment: 0.00 μB per cell
- E_form: 1.64 eV/f.u.

(3)
Compound: TbThPd2
Source: the Alexandria database
Functional: GGA-PBE
Structure: optimized geometry Values from VASP.

The structure in Quantum ESPRESSO input format:
```
&SYSTEM
  ibrav = 0, nat = 4, ntyp = 3
/
ATOMIC_SPECIES
Tb 158.93 Tb.upf
Th 232.04 Th.upf
Pd 106.42 Pd.upf
ATOMIC_POSITIONS crystal
Tb 0.000 0.000 0.000
Th 0.273 0.500 0.549
Pd 0.549 0.500 0.099
Pd 0.725 0.000 0.453
CELL_PARAMETERS angstrom
3.789 0.000 0.000
0.000 4.630 0.000
-1.876 0.000 5.418
```

Calculated values
- Size of the total moment: 0.00 μB per cell
- E_form: -3.36 eV/f.u.

(4)
Compound: TiSiPd4
Source: the Alexandria database
Functional: GGA-PBE
Structure: optimized geometry Values from VASP.

The structure in Quantum ESPRESSO input format:
```
&SYSTEM
  ibrav = 0, nat = 12, ntyp = 3
/
ATOMIC_SPECIES
Ti 47.87 Ti.upf
Si 28.09 Si.upf
Pd 106.42 Pd.upf
ATOMIC_POSITIONS crystal
Ti 0.113 0.887 0.750
Ti 0.887 0.113 0.250
Si 0.495 0.505 0.750
Si 0.505 0.495 0.250
Pd 0.111 0.292 0.855
Pd 0.207 0.566 0.438
Pd 0.292 0.111 0.355
Pd 0.434 0.793 0.062
Pd 0.566 0.207 0.938
Pd 0.708 0.889 0.645
Pd 0.793 0.434 0.562
Pd 0.889 0.708 0.145
CELL_PARAMETERS angstrom
3.644 -5.433 0.000
3.644 5.433 0.000
-1.643 0.000 4.649
```

Calculated values
- E_form (uncorrected): -515 meV/atom
- Size of the total moment: 0.00 μB per cell

(5)
Compound: NdGePd2
Source: the Alexandria database
Functional: GGA-PBE
Structure: optimized geometry Values from VASP.

The structure in Quantum ESPRESSO input format:
```
&SYSTEM
  ibrav = 0, nat = 4, ntyp = 3
/
ATOMIC_SPECIES
Nd 144.24 Nd.upf
Ge 72.64 Ge.upf
Pd 106.42 Pd.upf
ATOMIC_POSITIONS crystal
Nd 0.000 0.000 0.000
Ge 0.500 0.500 0.500
Pd 0.211 0.211 0.211
Pd 0.789 0.789 0.789
CELL_PARAMETERS angstrom
2.209 1.276 4.807
-2.209 1.276 4.807
0.000 -2.551 4.807
```

Calculated values
- Size of the total moment: 0.00 μB per cell
- E_form: -2.96 eV/f.u.

(6)
Compound: TlCr2Cl
Source: the Alexandria database
Functional: GGA-PBE
Structure: optimized geometry Values from VASP.

The structure in Quantum ESPRESSO input format:
```
&SYSTEM
  ibrav = 0, nat = 4, ntyp = 3
/
ATOMIC_SPECIES
Tl 204.38 Tl.upf
Cr 52.00 Cr.upf
Cl 35.45 Cl.upf
ATOMIC_POSITIONS crystal
Tl 0.000 0.000 0.000
Cr 0.000 0.000 0.594
Cr 0.500 0.500 0.738
Cl 0.500 0.500 0.414
CELL_PARAMETERS angstrom
3.217 0.000 0.000
0.000 3.217 0.000
0.000 0.000 8.112
```

Calculated values
- E_form (uncorrected): 150 meV/atom
- Size of the total moment: 0.25 μB per cell